No. 1
Cd2NiHg | PBE-GGA | relaxed

extended XYZ file:
```
4
Lattice="3.076 0.000 0.000 0.000 3.067 0.020 0.000 3.173 8.222" Properties=species:S:1:pos:R:3 pbc="T T T"
Ni 1.538 4.680 6.181
Hg 1.538 1.560 2.060
Cd 0.000 3.139 7.820
Cd 0.000 3.154 4.522
```

=====

No. 2
CdNi2Hg | PBE-GGA | relaxed

extended XYZ file:
```
4
Lattice="-5.953 3.674 -4.936 -6.837 0.826 -5.087 -7.688 2.533 -2.790" Properties=species:S:1:pos:R:3 pbc="T T T"
Cd -5.119 1.758 -3.203
Hg -15.358 5.275 -9.610
Ni -20.475 7.032 -12.811
Ni -10.242 3.518 -6.408
```

=====

No. 3
CdNiHg2 | PBE-GGA | relaxed

extended XYZ file:
```
4
Lattice="5.234 0.050 0.000 1.810 4.911 0.000 -3.522 -2.480 2.973" Properties=species:S:1:pos:R:3 pbc="T T T"
Cd 2.617 0.025 1.487
Hg 0.000 0.000 0.000
Hg 3.522 2.480 0.000
Ni 0.905 2.456 1.487
```

=====

No. 4
CdNi2Hg | PBE-GGA | relaxed

extended XYZ file:
```
4
Lattice="5.093 -0.002 0.032 4.253 2.801 0.032 1.307 0.391 4.413" Properties=species:S:1:pos:R:3 pbc="T T T"
Cd 5.239 1.569 2.464
Hg 2.758 0.826 0.892
Ni 0.231 0.069 0.099
Ni 7.751 2.321 3.261
```

=====

No. 5
CdNiHg2 | PBE-GGA | relaxed

extended XYZ file:
```
4
Lattice="3.077 0.000 0.000 0.000 3.078 0.000 0.000 0.000 8.224" Properties=species:S:1:pos:R:3 pbc="T T T"
Cd 1.539 1.539 6.168
Hg 0.000 0.000 0.359
Hg 0.000 0.000 3.753
Ni 1.539 1.539 2.056
```

=====

No. 6
CdNiHg2 | PBE-GGA | relaxed

extended XYZ file:
```
4
Lattice="3.069 0.000 0.000 0.000 4.245 0.030 0.000 2.090 6.740" Properties=species:S:1:pos:R:3 pbc="T T T"
Cd 1.534 4.493 4.414
Hg 0.000 2.354 6.651
Hg 1.534 2.371 1.823
Ni 0.000 2.375 4.007
```

=====

Number 1: E_tot -1.93 eV per atom, D(E_F) 1.26 states/eV/f.u.. Number 2: E_tot -2.92 eV per atom, D(E_F) 3.70 states/eV/f.u.. Number 3: E_tot -1.60 eV per atom, D(E_F) 1.50 states/eV/f.u.. Number 4: E_tot -3.04 eV per atom, D(E_F) 3.05 states/eV/f.u.. Number 5: E_tot -1.65 eV per atom, D(E_F) 1.74 states/eV/f.u.. Number 6: E_tot -1.70 eV per atom, D(E_F) 2.06 states/eV/f.u..